An optimized crystal structure of YTlSn2, computed with PBE.

Cell: 8.4596 8.4596 6.7938 Å, 51.49 51.49 90.00°
Sites, in units of the cell vectors:
Y 0.2500 0.7500 0.5000
Y 0.5000 0.5000 0.0000
Sn 0.1079 0.6250 0.2500
Sn 0.6421 0.1250 0.2500
Sn 0.8750 0.8921 0.7500
Sn 0.3750 0.3579 0.7500
Tl 0.7500 0.2500 0.5000
Tl 0.0000 0.0000 0.0000

Summary:
The magnetic moment comes out at 0.0 μB/cell. Its crystal system is tetragonal. The value obtained for the formation energy is -2.98 kcal/mol of atoms. The offset from the most stable computed form comes out at 253 meV/atom.

***

An optimized crystal structure of Tm2Al5Ag3, computed with PBE.

Cell: 5.9437 8.6765 8.6765 Å, 80.62 69.88 69.88°
Sites, in units of the cell vectors:
Tm 0.3720 0.8723 0.3831
Tm 0.1280 0.6169 0.1277
Tm 0.6280 0.1277 0.6169
Tm 0.8720 0.3831 0.8723
Ag 0.2500 0.0006 0.9994
Ag 0.3732 0.4897 0.7639
Ag 0.7500 0.9994 0.0006
Ag 0.8732 0.7639 0.4897
Ag 0.1268 0.2361 0.5103
Ag 0.6268 0.5103 0.2361
Al 0.9970 0.7530 0.7529
Al 0.4970 0.7529 0.7530
Al 0.7500 0.5004 0.4996
Al 0.0030 0.2470 0.2471
Al 0.2500 0.4996 0.5004
Al 0.1183 0.0241 0.7381
Al 0.8817 0.9759 0.2619
Al 0.6183 0.7381 0.0241
Al 0.3817 0.2619 0.9759
Al 0.5030 0.2471 0.2470

Summary:
The magnetic moment comes out at 0.0 μB/cell. Its crystal system is monoclinic. The value obtained for the formation energy is -7.00 kcal/mol of atoms.

***

An optimized crystal structure of AlFeIr3, computed with PBE.

Cell: 4.4404 4.4404 4.4404 Å, 90.00 90.00 90.00°
Sites, in units of the cell vectors:
Ir 0.5000 0.0000 0.0000
Ir 0.0000 0.0000 0.5000
Ir 0.0000 0.5000 0.0000
Fe 0.0000 0.0000 0.0000
Al 0.5000 0.5000 0.5000

Summary:
The magnetic moment comes out at 0.0 μB/cell. Its crystal system is cubic. The value obtained for the formation energy is 27.99 kcal/mol of atoms. The offset from the most stable computed form comes out at 0 meV/atom.

***

An optimized crystal structure of TbSmCd6, computed with PBE.

Cell: 4.9209 6.5874 6.5874 Å, 114.41 90.00 90.00°
Sites, in units of the cell vectors:
Cd 0.5000 0.9232 0.0768
Cd 0.0000 0.0588 0.3739
Cd 0.0000 0.5788 0.4212
Cd 0.0000 0.6261 0.9412
Cd 0.5000 0.4383 0.1250
Cd 0.5000 0.8750 0.5617
Sm 0.5000 0.3891 0.6109
Tb 0.0000 0.1104 0.8896

Summary:
The magnetic moment comes out at 0.0 μB/cell. Its crystal system is orthorhombic. The value obtained for the formation energy is -6.78 kcal/mol of atoms.

***

> What is the magnetic moment in the first record?

0.0 μB/cell